Below is crystalline Li3TlCd3Ag2 at its relaxed geometry, with properties calculated at the PBE level.

a b c (Å): 8.0749 8.0749 3.0804
angles (deg): 90.00 90.00 120.00
Space group P-62m (No. 189)
Inequivalent atoms, fractional coordinates:
1 Li 0.0000 0.3070 0.0000 [3 per cell]
2 Tl 0.0000 0.0000 0.5000 [1 per cell]
3 Cd 0.0000 0.6263 0.5000 [3 per cell]
4 Ag 0.3333 0.6667 0.0000 [2 per cell]

Output
The energy of formation comes out at -156 kJ/mol of formula units. The total moment comes out at 0.00 μB/f.u. The density of states at the Fermi level comes out at 2.1 states/eV per cell.